Density functional theory data (PBE-GGA) for crystalline YAlRu2 at its relaxed geometry.

Summary:
Formation energy ... -0.0443 eV/atom
SG ... R-3m
Size of the total moment ... 0.00 Bohr magnetons per cell
N(E_F) ... 11.59 states/eV per cell
V ... 211 Å³ per cell

Cell lengths 3.2445, 3.2445, 23.1233 Å; angles 90.00, 90.00, 120.00 degrees
Closest atoms and distances in Å follow each position.
Element x y z (fractional)
Y: 0.0000 0.0000 0.0000  6 Ru 2.86
Y: 0.3333 0.6667 0.6667  6 Ru 2.86
Y: 0.6667 0.3333 0.3333  6 Ru 2.86
Al: 0.0000 0.0000 0.5000  6 Ru 2.53
Al: 0.3333 0.6667 0.1667  6 Ru 2.53
Al: 0.6667 0.3333 0.8333  6 Ru 2.53
Ru: 0.0000 0.0000 0.2400  3 Al 2.53
Ru: 0.0000 0.0000 0.7600  3 Al 2.53
Ru: 0.3333 0.6667 0.4266  3 Al 2.53
Ru: 0.3333 0.6667 0.9067  3 Al 2.53
Ru: 0.6667 0.3333 0.0933  3 Al 2.53
Ru: 0.6667 0.3333 0.5734  3 Al 2.53